Compound: Ca2CrH2
Source: the Alexandria database
Functional: PBE
Structure: optimized geometry

Computed properties:
VASP energy (eV per atom): -4.055
Crystal system: tetragonal
Relative energy among the computed polymorphs (eV per atom): 0.0000
Space group: I4/mmm

Cell: 7.1476 7.1476 7.1476 Å, 149.18 149.18 44.14°
With the nearest neighbours (Å) after each atom.
Sites, in units of the cell vectors:
1 Ca 0.1549 0.1549 0.0000  4 H 2.28
2 Ca 0.8451 0.8451 0.0000  4 H 2.28
3 Cr 0.5000 0.5000 0.0000  8 Ca 3.38
4 H 0.2500 0.7500 0.5000  4 Ca 2.28
5 H 0.7500 0.2500 0.5000  4 Ca 2.28